Record 1
Entry from the Open Quantum Materials Database: an optimized crystal structure of Ho3Er2TmBi2Os (PBE).

abc: 4.2267 8.2304 8.2304
angles: 120.00 90.00 90.00
Closest atoms and distances in Å follow each position.
Fractional positions:
Er 0.5000 0.0000 0.7671  2 Os 2.86
Er 0.5000 0.7671 0.0000  2 Os 2.86
Os 0.0000 0.0012 0.0012  2 Tm 2.84, 4 Er 2.86, 2 Ho 3.17
Bi 0.5000 0.3333 0.6661  1 Tm 3.24, 2 Er 3.24, 6 Ho 3.31-3.32
Bi 0.5000 0.6661 0.3333  1 Tm 3.24, 2 Er 3.24, 6 Ho 3.31-3.32
Tm 0.5000 0.2324 0.2324  2 Os 2.84
Ho 0.0000 0.0002 0.3855  1 Os 3.17, 4 Bi 3.31-3.32, 2 Tm 3.48, 2 Er 3.48
Ho 0.0000 0.3855 0.0002  1 Os 3.17, 4 Bi 3.31-3.32, 2 Tm 3.48, 2 Er 3.48
Ho 0.0000 0.6141 0.6141  1 Os 3.19, 4 Bi 3.31, 4 Er 3.48

Calculated values
crystal system: orthorhombic
magnetization: 0.05 μB/cell

=====

Record 2
Entry from the Open Quantum Materials Database: an optimized crystal structure of Y2HoEr3Bi2Os (PBE).

abc: 4.2240 8.2669 8.2669
angles: 119.94 90.00 90.00
Closest atoms and distances in Å follow each position.
Fractional positions:
Bi 0.5000 0.6666 0.3338  2 Y 3.23, 1 Ho 3.24, 6 Er 3.32-3.33
Bi 0.5000 0.3338 0.6666  2 Y 3.23, 1 Ho 3.24, 6 Er 3.32-3.33
Ho 0.5000 0.7654 0.7654  2 Os 2.86
Er 0.0000 0.6151 0.9994  1 Os 3.17, 4 Bi 3.32-3.33, 2 Ho 3.48, 2 Y 3.49
Er 0.0000 0.3856 0.3856  1 Os 3.21, 4 Bi 3.32, 4 Y 3.50
Er 0.0000 0.9994 0.6151  1 Os 3.17, 4 Bi 3.32-3.33, 2 Ho 3.48, 2 Y 3.49
Y 0.5000 0.0000 0.2366  2 Os 2.88
Y 0.5000 0.2366 0.0000  2 Os 2.88
Os 0.0000 0.9977 0.9977  2 Ho 2.86, 4 Y 2.88, 2 Er 3.17

Calculated values
crystal system: orthorhombic
magnetization: 0.03 μB/cell

=====

Record 3
Entry from the Open Quantum Materials Database: an optimized crystal structure of HoErSc2Bi2 (PBE).

abc: 8.8191 8.8191 8.8191
angles: 151.19 151.19 41.20
Closest atoms and distances in Å follow each position.
Fractional positions:
Bi 0.1324 0.1324 0.0000  4 Sc 3.10, 1 Er 3.16, 4 Ho 3.19
Bi 0.8676 0.8676 0.0000  4 Sc 3.10, 1 Ho 3.16, 4 Er 3.19
Er 0.3240 0.3240 0.0000  5 Bi 3.16-3.19
Sc 0.4999 0.9999 0.5000  4 Bi 3.10, 4 Sc 3.10
Sc 0.9999 0.4999 0.5000  4 Bi 3.10, 4 Sc 3.10
Ho 0.6762 0.6762 0.0000  5 Bi 3.16-3.19

Calculated values
crystal system: tetragonal
magnetization: 1.30 μB/cell

=====

Record 4
Entry from the Open Quantum Materials Database: an optimized crystal structure of ErBiI6 (PBE).

abc: 7.7289 7.7289 7.7257
angles: 99.37 99.37 120.06
Closest atoms and distances in Å follow each position.
Fractional positions:
I 0.7790 0.7696 0.7536  1 Er 3.03, 1 Bi 3.12
I 0.5687 0.9240 0.2414  1 Er 3.03, 1 Bi 3.12
I 0.9329 0.5868 0.2415  1 Er 3.03, 1 Bi 3.12
I 0.2304 0.2210 0.2464  1 Er 3.03, 1 Bi 3.12
I 0.0760 0.4313 0.7586  1 Er 3.03, 1 Bi 3.12
I 0.4132 0.0671 0.7585  1 Er 3.03, 1 Bi 3.12
Er 0.1660 0.8340 0.0000  6 I 3.03
Bi 0.8338 0.1662 0.0000  6 I 3.12

Calculated values
crystal system: monoclinic
magnetization: 0.00 μB/cell

=====

Record 5
Entry from the Open Quantum Materials Database: an optimized crystal structure of Er2BiIO4 (PBE).

abc: 3.9753 3.9753 9.2894
angles: 90.00 90.00 90.00
Closest atoms and distances in Å follow each position.
Fractional positions:
Bi 0.0000 0.0000 0.0000  8 O 2.48
I 0.0000 0.0000 0.5000  8 Er 3.64, 8 O 3.73, 4 I 3.98
O 0.0000 0.5000 0.8399  2 Er 2.16
O 0.5000 0.0000 0.1601  2 Er 2.16
O 0.5000 0.0000 0.8399  2 Er 2.16
O 0.0000 0.5000 0.1601  2 Er 2.16
Er 0.5000 0.5000 0.7482  4 O 2.16
Er 0.5000 0.5000 0.2518  4 O 2.16

Calculated values
crystal system: tetragonal
magnetization: 0.01 μB/cell

=====

Record 6
Entry from the Open Quantum Materials Database: an optimized crystal structure of ErBiI2O2 (PBE).

abc: 3.9529 3.9529 9.2562
angles: 90.00 90.00 90.00
Closest atoms and distances in Å follow each position.
Fractional positions:
O 0.5000 0.0000 0.0078  2 Er 2.24, 2 Bi 2.34
O 0.0000 0.5000 0.0078  2 Er 2.24, 2 Bi 2.34
Bi 0.0000 0.0000 0.8719  4 O 2.34
I 0.5000 0.5000 0.6677  4 Bi 3.37, 4 O 3.72
I 0.0000 0.0000 0.3228  4 Er 3.36, 4 O 3.52
Er 0.5000 0.5000 0.1219  4 O 2.24

Calculated values
crystal system: tetragonal
magnetization: 0.00 μB/cell

=====

Record 7
Entry from the Open Quantum Materials Database: an optimized crystal structure of PrErBiI2 (PBE).

abc: 4.4423 4.4423 11.4550
angles: 90.00 90.00 120.00
Closest atoms and distances in Å follow each position.
Fractional positions:
Pr 0.6667 0.3333 0.1544  3 Bi 3.19, 3 I 3.27
Bi 0.0000 0.0000 0.9884  3 Er 3.05, 3 Pr 3.19
I 0.3333 0.6667 0.3310  3 Pr 3.27
I 0.6667 0.3333 0.6817  3 Er 3.17
Er 0.3333 0.6667 0.8445  3 Bi 3.05, 3 I 3.17

Calculated values
crystal system: trigonal
magnetization: 0.00 μB/cell

=====

Record 8
Entry from the Open Quantum Materials Database: an optimized crystal structure of KErBi (PBE).

abc: 5.4305 5.4305 5.4305
angles: 60.00 60.00 60.00
Closest atoms and distances in Å follow each position.
Fractional positions:
Bi 0.2500 0.2500 0.2500  4 Er 3.33
Er 0.0000 0.0000 0.0000  4 K 3.33, 4 Bi 3.33
K 0.7500 0.7500 0.7500  4 Er 3.33

Calculated values
crystal system: cubic
magnetization: 0.08 μB/cell

=====

Record 9
Entry from the Open Quantum Materials Database: an optimized crystal structure of La2ErBi3 (PBE).

abc: 4.5996 4.5996 11.2668
angles: 90.00 90.00 120.00
Closest atoms and distances in Å follow each position.
Fractional positions:
Bi 0.6667 0.3333 0.6539  3 Er 3.17, 3 La 3.29
Bi 0.3333 0.6667 0.3461  3 Er 3.17, 3 La 3.29
Bi 0.0000 0.0000 0.0000  6 La 3.29
Er 0.0000 0.0000 0.5000  6 Bi 3.17
La 0.6667 0.3333 0.1730  6 Bi 3.29
La 0.3333 0.6667 0.8270  6 Bi 3.29

Calculated values
crystal system: trigonal
magnetization: 0.00 μB/cell

=====

Record 10
Entry from the Open Quantum Materials Database: an optimized crystal structure of LaEr2Bi3 (PBE).

abc: 4.5065 4.5065 11.0347
angles: 90.00 90.00 120.00
Closest atoms and distances in Å follow each position.
Fractional positions:
La 0.0000 0.0000 0.5000  6 Bi 3.27
Bi 0.6667 0.3333 0.6792  3 Er 3.14, 3 La 3.27
Bi 0.0000 0.0000 0.0000  6 Er 3.15
Bi 0.3333 0.6667 0.3208  3 Er 3.14, 3 La 3.27
Er 0.3333 0.6667 0.8393  6 Bi 3.14-3.15
Er 0.6667 0.3333 0.1607  6 Bi 3.14-3.15

Calculated values
crystal system: trigonal
magnetization: 0.00 μB/cell

=====

Record 11
Entry from the Open Quantum Materials Database: an optimized crystal structure of LaErBi (PBE).

abc: 5.2881 5.2881 5.2881
angles: 60.00 60.00 60.00
Closest atoms and distances in Å follow each position.
Fractional positions:
La 0.7500 0.7500 0.7500  4 Bi 3.24
Er 0.2500 0.2500 0.2500  4 Bi 3.24
Bi 0.0000 0.0000 0.0000  4 La 3.24, 4 Er 3.24

Calculated values
crystal system: cubic
magnetization: 0.02 μB/cell

=====

Record 12
Entry from the Open Quantum Materials Database: an optimized crystal structure of LaErBiO2 (PBE).

abc: 7.3991 7.3991 7.3991
angles: 149.15 149.15 44.19
Closest atoms and distances in Å follow each position.
Fractional positions:
La 0.6629 0.6629 0.0000  4 O 2.35
O 0.2563 0.7563 0.5000  2 Er 2.22, 2 La 2.35
O 0.7563 0.2563 0.5000  2 Er 2.22, 2 La 2.35
Bi 0.9927 0.9927 0.0000  4 Er 3.55, 4 La 3.63, 4 O 3.79, 4 Bi 3.94
Er 0.3318 0.3318 0.0000  4 O 2.22

Calculated values
crystal system: tetragonal
magnetization: 0.00 μB/cell

=====

Record 13
Entry from the Open Quantum Materials Database: an optimized crystal structure of LiErBi (PBE).

abc: 4.9512 4.9512 4.9512
angles: 60.00 60.00 60.00
Closest atoms and distances in Å follow each position.
Fractional positions:
Li 0.7500 0.7500 0.7500  4 Bi 3.03
Er 0.2500 0.2500 0.2500  4 Bi 3.03
Bi 0.0000 0.0000 0.0000  4 Li 3.03, 4 Er 3.03

Calculated values
crystal system: cubic
magnetization: 0.00 μB/cell

=====

Record 14
Entry from the Open Quantum Materials Database: an optimized crystal structure of LiErBi (PBE).

abc: 5.0373 5.0373 5.0373
angles: 60.00 60.00 60.00
Closest atoms and distances in Å follow each position.
Fractional positions:
Bi 0.2500 0.2500 0.2500  4 Er 3.08
Er 0.0000 0.0000 0.0000  4 Li 3.08, 4 Bi 3.08
Li 0.7500 0.7500 0.7500  4 Er 3.08

Calculated values
crystal system: cubic
magnetization: 0.00 μB/cell

=====

Record 15
Entry from the Open Quantum Materials Database: an optimized crystal structure of Li3ErBiP (PBE).

abc: 4.3221 4.3221 6.9145
angles: 90.00 90.00 120.00
Closest atoms and distances in Å follow each position.
Fractional positions:
Bi 0.0000 0.0000 0.7572  4 Li 2.67-2.90
Er 0.3333 0.6667 0.0303  3 P 2.92, 3 Bi 3.13
Li 0.3333 0.6667 0.5067  6 Li 2.61-2.75
Li 0.0000 0.0000 0.3379  3 P 2.57, 3 Li 2.75
Li 0.6667 0.3333 0.6196  1 P 2.57, 3 Li 2.61, 3 Bi 2.67
P 0.6667 0.3333 0.2482  4 Li 2.57

Calculated values
crystal system: trigonal
magnetization: 0.01 μB/cell

=====

Record 16
Entry from the Open Quantum Materials Database: an optimized crystal structure of ErLu2Bi3 (PBE).

abc: 4.4135 4.4135 10.8264
angles: 90.00 90.00 120.00
Closest atoms and distances in Å follow each position.
Fractional positions:
Bi 0.0000 0.0000 0.0000  6 Lu 3.12
Bi 0.3333 0.6667 0.3317  3 Lu 3.11, 3 Er 3.13
Bi 0.6667 0.3333 0.6683  3 Lu 3.11, 3 Er 3.13
Lu 0.6667 0.3333 0.1665  6 Bi 3.11-3.12
Lu 0.3333 0.6667 0.8335  6 Bi 3.11-3.12
Er 0.0000 0.0000 0.5000  6 Bi 3.13

Calculated values
crystal system: trigonal
magnetization: 0.00 μB/cell

=====

Record 17
Entry from the Open Quantum Materials Database: an optimized crystal structure of Er2LuBi3 (PBE).

abc: 4.4209 4.4209 10.8627
angles: 90.00 90.00 120.00
Closest atoms and distances in Å follow each position.
Fractional positions:
Lu 0.0000 0.0000 0.5000  6 Bi 3.12
Bi 0.6667 0.3333 0.6652  3 Lu 3.12, 3 Er 3.14
Bi 0.3333 0.6667 0.3348  3 Lu 3.12, 3 Er 3.14
Bi 0.0000 0.0000 0.0000  6 Er 3.13
Er 0.3333 0.6667 0.8333  6 Bi 3.13-3.14
Er 0.6667 0.3333 0.1667  6 Bi 3.13-3.14

Calculated values
crystal system: trigonal
magnetization: 0.00 μB/cell

=====

Record 18
Entry from the Open Quantum Materials Database: an optimized crystal structure of Er3Lu3BiSbOs (PBE).

abc: 8.1027 8.1027 4.1974
angles: 90.00 90.00 120.00
Closest atoms and distances in Å follow each position.
Fractional positions:
Os 0.3333 0.6667 0.5000  6 Lu 2.82, 3 Er 3.14
Lu 0.3344 0.8996 0.0000  2 Os 2.82
Lu 0.1004 0.4348 0.0000  2 Os 2.82
Lu 0.5652 0.6656 0.0000  2 Os 2.82
Bi 0.0000 0.0000 0.0000  3 Lu 3.19, 6 Er 3.31
Sb 0.6667 0.3333 0.0000  3 Lu 3.18, 6 Er 3.24
Er 0.9428 0.6596 0.5000  1 Os 3.14, 2 Sb 3.24, 2 Bi 3.31, 4 Lu 3.42-3.48
Er 0.7168 0.0572 0.5000  1 Os 3.14, 2 Sb 3.24, 2 Bi 3.31, 4 Lu 3.42-3.48
Er 0.3404 0.2832 0.5000  1 Os 3.14, 2 Sb 3.24, 2 Bi 3.31, 4 Lu 3.42-3.48

Calculated values
crystal system: hexagonal
magnetization: 0.03 μB/cell

=====

Record 19
Entry from the Open Quantum Materials Database: an optimized crystal structure of Er2Lu3ScBi2Os (PBE).

abc: 4.1644 8.1074 8.1074
angles: 119.70 90.00 90.00
Closest atoms and distances in Å follow each position.
Fractional positions:
Lu 0.5000 0.0024 0.2355  2 Os 2.81
Lu 0.5000 0.7685 0.7685  2 Os 2.82
Lu 0.5000 0.2355 0.0024  2 Os 2.81
Er 0.0000 0.9997 0.6157  1 Os 3.12, 4 Bi 3.29, 4 Lu 3.42-3.45
Er 0.0000 0.6157 0.9997  1 Os 3.12, 4 Bi 3.29, 4 Lu 3.42-3.45
Os 0.0000 0.0017 0.0017  6 Lu 2.81-2.82, 1 Sc 3.07, 2 Er 3.12
Sc 0.0000 0.3788 0.3788  1 Os 3.07, 4 Bi 3.25, 4 Lu 3.39
Bi 0.5000 0.6630 0.3347  3 Lu 3.17-3.23, 2 Sc 3.25, 4 Er 3.29
Bi 0.5000 0.3347 0.6630  3 Lu 3.17-3.23, 2 Sc 3.25, 4 Er 3.29

Calculated values
crystal system: orthorhombic
magnetization: 0.01 μB/cell

=====

Record 20
Entry from the Open Quantum Materials Database: an optimized crystal structure of Er3Lu2ScBi2Os (PBE).

abc: 4.2037 8.0760 8.0760
angles: 119.85 90.00 90.00
Closest atoms and distances in Å follow each position.
Fractional positions:
Er 0.0000 0.6170 0.9977  1 Os 3.05, 4 Bi 3.26-3.32, 2 Sc 3.40
Er 0.0000 0.3883 0.3883  1 Os 3.22, 4 Bi 3.26, 4 Lu 3.45
Er 0.0000 0.9977 0.6170  1 Os 3.05, 4 Bi 3.26-3.32, 2 Sc 3.40
Bi 0.5000 0.3373 0.6675  1 Sc 3.18, 2 Lu 3.21-3.22, 6 Er 3.26-3.32
Bi 0.5000 0.6675 0.3373  1 Sc 3.18, 2 Lu 3.21-3.22, 6 Er 3.26-3.32
Sc 0.5000 0.7725 0.7725  2 Os 2.75
Os 0.0000 0.9908 0.9908  2 Sc 2.75, 4 Lu 2.83, 2 Er 3.05
Lu 0.5000 0.2293 0.9996  2 Os 2.83
Lu 0.5000 0.9996 0.2293  2 Os 2.83

Calculated values
crystal system: orthorhombic
magnetization: 0.02 μB/cell

=====

Number 1: calculated total energy -5.745 eV per atom. Number 2: calculated total energy -6.141 eV per atom. Number 3: calculated total energy -5.566 eV per atom. Number 4: calculated total energy -3.164 eV per atom. Number 5: calculated total energy -6.687 eV per atom. Number 6: calculated total energy -5.433 eV per atom. Number 7: calculated total energy -4.444 eV per atom. Number 8: calculated total energy -3.120 eV per atom. Number 9: calculated total energy -5.408 eV per atom. Number 10: calculated total energy -5.267 eV per atom. Number 11: calculated total energy -4.866 eV per atom. Number 12: calculated total energy -7.374 eV per atom. Number 13: calculated total energy -3.906 eV per atom. Number 14: calculated total energy -3.670 eV per atom. Number 15: calculated total energy -4.063 eV per atom. Number 16: calculated total energy -5.067 eV per atom. Number 17: calculated total energy -5.101 eV per atom. Number 18: calculated total energy -5.823 eV per atom. Number 19: calculated total energy -5.919 eV per atom. Number 20: calculated total energy -5.959 eV per atom.